CrCuNO2 | GGA+U | relaxed

Cell: 3.687 3.687 3.744 Å, 90.00 90.00 90.00°
Space group P4/mmm (No. 123)
Symmetry-distinct sites (fractional):
1 Cr 0.000 0.000 0.000
2 Cu 0.500 0.500 0.500
3 N 0.000 0.000 0.500
4 O 0.000 0.500 0.000

Crystal system: tetragonal
Raw total energy, eV per formula unit: -28.94